# 1
LiBi3I2O4 | meta-GGA SCAN | PBEsol geometry

The space group is Amm2 (No. 38) and the conventional cell measures 5.566, 5.572 and 13.124 Å, with angles of 90.00, 90.00 and 90.00 degrees. The asymmetric unit holds Li at (0.000, 0.000, 0.000), Bi at (0.000, 0.000, 0.630), Bi at (0.500, 0.000, 0.128), Bi at (0.500, 0.000, 0.457), I at (0.000, 0.000, 0.286), I at (0.500, 0.000, 0.794) and O at (0.252, 0.247, 0.543).

Its energy relative to the elements, uncorrected is -11.84 eV/f.u.

# 2
TiPOsO2 | meta-GGA SCAN | PBEsol geometry

The space group is P4/mmm (No. 123) and the conventional cell measures 3.711, 3.711 and 5.217 Å, with angles of 90.00, 90.00 and 90.00 degrees. The asymmetric unit holds Ti at (0.000, 0.000, 0.000), P at (0.500, 0.500, 0.000), Os at (0.500, 0.500, 0.500) and O at (0.000, 0.500, 0.500).

Its energy relative to the elements, uncorrected is -2.74 eV/f.u.

# 3
SrAgNO2 | meta-GGA SCAN | PBEsol geometry

The space group is P4/mmm (No. 123) and the conventional cell measures 4.178, 4.178 and 3.885 Å, with angles of 90.00, 90.00 and 90.00 degrees. The asymmetric unit holds Sr at (0.000, 0.000, 0.000), Ag at (0.500, 0.500, 0.500), N at (0.500, 0.500, 0.000) and O at (0.000, 0.500, 0.500).

Its energy relative to the elements, uncorrected is -2.25 eV/f.u.

# 4
CaBe2 | meta-GGA SCAN | PBEsol geometry

The space group is Fd-3m (No. 227, origin choice 2) and the conventional cell measures 7.191, 7.191 and 7.191 Å, with angles of 90.00, 90.00 and 90.00 degrees. The asymmetric unit holds Ca at (0.125, 0.125, 0.125) and Be at (0.000, 0.000, 0.500).

For the total energy, the calculation gives -5.775 eV/atom.

# 5
Tl2Ge2S5 | meta-GGA SCAN | PBEsol geometry

The space group is C2/c (No. 15) and the conventional cell measures 14.927, 14.882 and 8.672 Å, with angles of 90.00, 106.91 and 90.00 degrees. The asymmetric unit holds Tl at (0.138, 0.064, 0.106), Tl at (0.171, 0.371, 0.394), Ge at (0.068, 0.202, 0.611), Ge at (0.107, 0.373, 0.911), S at (0.000, 0.109, 0.750), S at (0.000, 0.464, 0.750), S at (0.044, 0.284, 0.059), S at (0.122, 0.121, 0.455), S at (0.181, 0.288, 0.770) and S at (0.214, 0.454, 0.073).

Its energy relative to the elements, uncorrected is -4.09 eV/f.u.

# 6
YCu2Pt2 | meta-GGA SCAN | PBEsol geometry

The space group is I4/mmm (No. 139) and the conventional cell measures 3.732, 3.732 and 12.073 Å, with angles of 90.00, 90.00 and 90.00 degrees. The asymmetric unit holds Y at (0.000, 0.000, 0.000), Cu at (0.000, 0.500, 0.250) and Pt at (0.000, 0.000, 0.392).

For the total energy, the calculation gives -40.425 eV/atom.

# 7
SrZrSc4 | meta-GGA SCAN | PBEsol geometry

The space group is F-43m (No. 216) and the conventional cell measures 8.674, 8.674 and 8.674 Å, with angles of 90.00, 90.00 and 90.00 degrees. The asymmetric unit holds Sr at (0.000, 0.000, 0.000), Zr at (0.250, 0.250, 0.250) and Sc at (0.120, 0.120, 0.620).

For the total energy, the calculation gives -17.890 eV/atom.

# 8
CaAgTe2 | meta-GGA SCAN | PBEsol geometry

The space group is Pm (No. 6) and the conventional cell measures 4.154, 4.777 and 5.844 Å, with angles of 90.00, 107.40 and 90.00 degrees. The asymmetric unit holds Ca at (0.000, 0.000, 0.000), Ag at (0.592, 0.500, 0.586), Te at (0.271, 0.000, 0.556) and Te at (0.555, 0.500, 0.091).

Its energy relative to the elements, uncorrected is -3.00 eV/f.u.

# 9
SrCaLa2 | meta-GGA SCAN | PBEsol geometry

The space group is P4mm (No. 99) and the conventional cell measures 3.776, 3.776 and 11.106 Å, with angles of 90.00, 90.00 and 90.00 degrees. The asymmetric unit holds Sr at (0.000, 0.000, 0.000), Ca at (0.500, 0.500, 0.275), La at (0.000, 0.000, 0.522) and La at (0.500, 0.500, 0.734).

The calculation puts the energy above the most stable polymorph in this dataset at 0.0 kJ per mole of atoms.

# 10
TiAs2SeBr | meta-GGA SCAN | PBEsol geometry

The space group is P4/mmm (No. 123) and the conventional cell measures 4.963, 4.963 and 4.905 Å, with angles of 90.00, 90.00 and 90.00 degrees. The asymmetric unit holds Ti at (0.000, 0.000, 0.000), As at (0.000, 0.500, 0.500), Se at (0.500, 0.500, 0.000) and Br at (0.500, 0.500, 0.500).

The calculation puts the energy above the most stable polymorph in this dataset at 105.0 kJ per mole of atoms. Its energy relative to the elements, uncorrected is 5.27 eV/f.u.

# 11
Ir3Cl | meta-GGA SCAN | PBEsol geometry

The space group is Pmmm (No. 47) and the conventional cell measures 2.757, 3.650 and 6.112 Å, with angles of 90.00, 90.00 and 90.00 degrees. The asymmetric unit holds Ir at (0.000, 0.000, 0.000), Ir at (0.500, 0.500, 0.217) and Cl at (0.500, 0.000, 0.500).

Its energy relative to the elements, uncorrected is 1.94 eV/f.u.

# 12
KHgTe | meta-GGA SCAN | PBEsol geometry

The space group is Imm2 (No. 44) and the conventional cell measures 3.223, 4.956 and 11.319 Å, with angles of 90.00, 90.00 and 90.00 degrees. The asymmetric unit holds K at (0.000, 0.000, 0.000), Hg at (0.000, 0.000, 0.337) and Te at (0.000, 0.000, 0.675).

Its energy relative to the elements, uncorrected is -1.53 eV/f.u.

# 13
BeAu3 | meta-GGA SCAN | PBEsol geometry

The space group is Pm-3m (No. 221) and the conventional cell measures 3.938, 3.938 and 3.938 Å, with angles of 90.00, 90.00 and 90.00 degrees. The asymmetric unit holds Be at (0.000, 0.000, 0.000) and Au at (0.000, 0.500, 0.500).

For the total energy, the calculation gives -52.949 eV/atom.

Calculated total magnetic moment, 0.0; 1.5; 1.6; 0.0; 0.0; 0.0; 3.7; 0.0; 0.1; 1.0; 0.0; 0.0; 0.0 μB/f.u. (same order as the records).